#P
This record from the Alexandria database describes a relaxed CsNa2LiSn crystal. The functional is PBE-GGA.

## Properties
For the density of states at the Fermi level, the calculation gives 2.25 states/eV/cell. The symmetry is P4/mmm. Its crystal system is tetragonal.

a b c (Å): 5.9424 5.9424 5.2246
angles (deg): 90.00 90.00 90.00
With the nearest neighbours (Å) after each atom.
Fractional coordinates of all 5 atoms:
Cs1 0.0000 0.0000 0.0000  8 Na 3.96, 4 Sn 4.20
Na1 0.0000 0.5000 0.5000  2 Li 2.97
Na2 0.5000 0.0000 0.5000  2 Li 2.97
Li1 0.5000 0.5000 0.5000  2 Sn 2.61
Sn1 0.5000 0.5000 0.0000  2 Li 2.61

---

#Q
This record from the Alexandria database describes a relaxed CsNa2LiSn crystal. The functional is PBE-GGA.

## Properties
For the density of states at the Fermi level, the calculation gives 0.52 states/eV/cell. The symmetry is P4/mmm. Its crystal system is tetragonal.

a b c (Å): 6.0572 6.0572 5.5415
angles (deg): 90.00 90.00 90.00
With the nearest neighbours (Å) after each atom.
Fractional coordinates of all 5 atoms:
Cs1 0.0000 0.0000 0.0000  8 Na 4.10, 4 Li 4.28
Na1 0.0000 0.5000 0.5000  2 Sn 3.03
Na2 0.5000 0.0000 0.5000  2 Sn 3.03
Li1 0.5000 0.5000 0.0000  2 Sn 2.77
Sn1 0.5000 0.5000 0.5000  2 Li 2.77, 4 Na 3.03

---

In kJ/mol of atoms, relative to the most stable structure: #P 11.0; #Q 0.0.

---

#P
This record from the Alexandria database describes a relaxed CsNa2LiZn crystal. The functional is PBE-GGA.

## Properties
For the density of states at the Fermi level, the calculation gives 3.35 states/eV/cell. The symmetry is P4/mmm. Its crystal system is tetragonal.

a b c (Å): 6.0493 6.0493 5.4763
angles (deg): 90.00 90.00 90.00
With the nearest neighbours (Å) after each atom.
Fractional coordinates of all 5 atoms:
Cs1 0.0000 0.0000 0.0000  8 Na 4.08, 4 Li 4.28
Na1 0.0000 0.5000 0.5000  2 Zn 3.02
Na2 0.5000 0.0000 0.5000  2 Zn 3.02
Li1 0.5000 0.5000 0.0000  2 Zn 2.74
Zn1 0.5000 0.5000 0.5000  2 Li 2.74, 4 Na 3.02

---

#Q
This record from the Alexandria database describes a relaxed CsNa2LiZn crystal. The functional is PBE-GGA.

## Properties
For the density of states at the Fermi level, the calculation gives 2.87 states/eV/cell. The symmetry is P4/mmm. Its crystal system is tetragonal.

a b c (Å): 7.0261 7.0261 6.5177
angles (deg): 90.00 90.00 90.00
With the nearest neighbours (Å) after each atom.
Fractional coordinates of all 5 atoms:
Cs1 0.0000 0.0000 0.0000  2 Zn 3.26, 4 Na 3.51
Na1 0.0000 0.5000 0.0000  2 Cs 3.51
Na2 0.5000 0.0000 0.0000  2 Cs 3.51
Li1 0.5000 0.5000 0.5000  8 Na 4.79, 4 Zn 4.97
Zn1 0.0000 0.0000 0.5000  2 Cs 3.26

---

In kJ/mol of atoms, relative to the most stable structure: #P 0.0; #Q 50.6.

---

#P
This record from the Alexandria database describes a relaxed CsLiNb2 crystal. The functional is PBE-GGA.

## Properties
For the density of states at the Fermi level, the calculation gives 8.25 states/eV/cell. The symmetry is Fm-3m. Its crystal system is cubic.

a b c (Å): 4.8627 4.8627 4.8627
angles (deg): 60.00 60.00 60.00
With the nearest neighbours (Å) after each atom.
Fractional coordinates of all 4 atoms:
Cs1 0.0000 0.0000 0.0000  8 Nb 2.98
Li1 0.5000 0.5000 0.5000  8 Nb 2.98
Nb1 0.2500 0.2500 0.2500  4 Li 2.98, 4 Cs 2.98
Nb2 0.7500 0.7500 0.7500  4 Li 2.98, 4 Cs 2.98

---

#Q
This record from the Alexandria database describes a relaxed CsLiNb2 crystal. The functional is PBE-GGA.

## Properties
For the density of states at the Fermi level, the calculation gives 7.74 states/eV/cell. The symmetry is I-42d. Its crystal system is tetragonal.

a b c (Å): 12.4199 12.4199 12.4199
angles (deg): 161.64 161.64 26.08
With the nearest neighbours (Å) after each atom.
Fractional coordinates of all 8 atoms:
Cs1 0.0000 0.0000 0.0000  4 Li 2.80
Cs2 0.7500 0.2500 0.5000  4 Li 2.80
Li1 0.2500 0.7500 0.5000  4 Cs 2.80
Li2 0.5000 0.5000 0.0000  4 Cs 2.80
Nb1 0.1443 0.1250 0.5193  4 Nb 2.70-2.91
Nb2 0.3750 0.8557 0.9807  4 Nb 2.70-2.91
Nb3 0.6057 0.6250 0.4807  4 Nb 2.70-2.91
Nb4 0.8750 0.3943 0.0193  4 Nb 2.70-2.91

---

In kJ/mol of atoms, relative to the most stable structure: #P 49.7; #Q 0.0.

---

#P
This record from the Alexandria database describes a relaxed CsLi3Nb crystal. The functional is PBE-GGA.

## Properties
For the density of states at the Fermi level, the calculation gives 3.89 states/eV/cell. The symmetry is Pm-3m. Its crystal system is cubic.

a b c (Å): 5.7283 5.7283 5.7283
angles (deg): 90.00 90.00 90.00
With the nearest neighbours (Å) after each atom.
Fractional coordinates of all 5 atoms:
Cs1 0.0000 0.0000 0.0000  12 Li 4.05
Li1 0.0000 0.5000 0.5000  2 Nb 2.86
Li2 0.5000 0.0000 0.5000  2 Nb 2.86
Li3 0.5000 0.5000 0.0000  2 Nb 2.86
Nb1 0.5000 0.5000 0.5000  6 Li 2.86

---

#Q
This record from the Alexandria database describes a relaxed CsLi3Nb crystal. The functional is PBE-GGA.

## Properties
For the density of states at the Fermi level, the calculation gives 1.07 states/eV/cell. The symmetry is Pm-3m. Its crystal system is cubic.

a b c (Å): 5.1082 5.1082 5.1082
angles (deg): 90.00 90.00 90.00
With the nearest neighbours (Å) after each atom.
Fractional coordinates of all 5 atoms:
Cs1 0.0000 0.0000 0.0000  6 Li 2.55
Li1 0.0000 0.0000 0.5000  2 Cs 2.55
Li2 0.0000 0.5000 0.0000  2 Cs 2.55
Li3 0.5000 0.0000 0.0000  2 Cs 2.55
Nb1 0.5000 0.5000 0.5000  12 Li 3.61

---

In kJ/mol of atoms, relative to the most stable structure: #P 0.0; #Q 51.3.